# Be2CoHSe

An optimized crystal structure of Be2CoHSe (PBEsol, the Alexandria database).

Values from the calculation:
total DFT energy (no corrections) = -19.09 eV for the cell shown

a = 4.1213 Å, b = 4.1213 Å, c = 4.0985 Å
α = 90.00°, β = 90.00°, γ = 90.00°
Closest atoms and distances in Å follow each position.
Space group P4/mmm (No. 123)
One atom of each set of equivalent atoms:
Be (0.0000, 0.5000, 0.0000)  2 Co 2.06
Co (0.0000, 0.0000, 0.0000)  2 Se 2.05, 4 Be 2.06
H (0.5000, 0.5000, 0.5000)  8 Be 2.91, 4 Se 2.91
Se (0.0000, 0.0000, 0.5000)  2 Co 2.05

---

# Hf3BeCo

An optimized crystal structure of Hf3BeCo (PBEsol, the Alexandria database).

Values from the calculation:
total DFT energy (no corrections) = -40.72 eV for the cell shown

a = 4.6617 Å, b = 4.6617 Å, c = 4.6617 Å
α = 90.00°, β = 90.00°, γ = 90.00°
Closest atoms and distances in Å follow each position.
Space group Pm-3m (No. 221)
One atom of each set of equivalent atoms:
Hf (0.0000, 0.0000, 0.5000)  2 Co 2.33
Be (0.5000, 0.5000, 0.5000)  12 Hf 3.30
Co (0.0000, 0.0000, 0.0000)  6 Hf 2.33

---

# HfBe3Co

An optimized crystal structure of HfBe3Co (PBEsol, the Alexandria database).

Values from the calculation:
total DFT energy (no corrections) = -30.19 eV for the cell shown

a = 3.8698 Å, b = 3.8698 Å, c = 3.8698 Å
α = 90.00°, β = 90.00°, γ = 90.00°
Closest atoms and distances in Å follow each position.
Space group Pm-3m (No. 221)
One atom of each set of equivalent atoms:
Hf (0.0000, 0.0000, 0.0000)  12 Be 2.74
Be (0.0000, 0.5000, 0.5000)  2 Co 1.93
Co (0.5000, 0.5000, 0.5000)  6 Be 1.93

---

# Hf2Be2Co

An optimized crystal structure of Hf2Be2Co (PBEsol, the Alexandria database).

Values from the calculation:
total DFT energy (no corrections) = -75.36 eV for the cell shown

a = 6.2039 Å, b = 6.2039 Å, c = 3.5261 Å
α = 90.00°, β = 90.00°, γ = 90.00°
Closest atoms and distances in Å follow each position.
Space group P4/mbm (No. 127)
One atom of each set of equivalent atoms:
Hf (0.1777, 0.3223, 0.0000)  6 Be 2.49-2.58
Be (0.1217, 0.6217, 0.5000)  1 Be 2.14
Co (0.0000, 0.0000, 0.5000)  4 Be 2.47

---

# Hf6Be15Co8

An optimized crystal structure of Hf6Be15Co8 (PBEsol, the Alexandria database).

Values from the calculation:
total DFT energy (no corrections) = -780.26 eV for the cell shown

a = 10.8084 Å, b = 10.8084 Å, c = 10.8084 Å
α = 90.00°, β = 90.00°, γ = 90.00°
Closest atoms and distances in Å follow each position.
Space group Fm-3m (No. 225)
One atom of each set of equivalent atoms:
Hf (0.0000, 0.0000, 0.2108)  4 Co 2.60, 8 Be 2.74-2.75
Be (0.0000, 0.0000, 0.5000)  8 Co 2.33
Be (0.0000, 0.2500, 0.2500)  4 Be 2.22, 4 Co 2.34
Be (0.1782, 0.1782, 0.1782)  6 Be 2.20-2.22, 3 Co 2.29
Co (0.1243, 0.1243, 0.3757)  7 Be 2.29-2.34

---

# Hf2BeZnCo

An optimized crystal structure of Hf2BeZnCo (PBEsol, the Alexandria database).

Values from the calculation:
total DFT energy (no corrections) = -33.06 eV for the cell shown

a = 4.6542 Å, b = 4.6542 Å, c = 3.9820 Å
α = 90.00°, β = 90.00°, γ = 90.00°
Closest atoms and distances in Å follow each position.
Space group P4/mmm (No. 123)
One atom of each set of equivalent atoms:
Hf (0.0000, 0.5000, 0.0000)  2 Co 2.33
Be (0.0000, 0.0000, 0.5000)  2 Co 1.99
Zn (0.5000, 0.5000, 0.5000)  8 Hf 3.06, 4 Be 3.29
Co (0.0000, 0.0000, 0.0000)  2 Be 1.99

---

# BeCo2Hg

An optimized crystal structure of BeCo2Hg (PBEsol, the Alexandria database).

Values from the calculation:
total DFT energy (no corrections) = -18.78 eV for the cell shown

a = 3.5749 Å, b = 3.5749 Å, c = 3.7993 Å
α = 90.00°, β = 90.00°, γ = 90.00°
Closest atoms and distances in Å follow each position.
Space group P4/mmm (No. 123)
One atom of each set of equivalent atoms:
Be (0.0000, 0.0000, 0.0000)  4 Hg 2.53, 8 Co 2.61
Co (0.0000, 0.5000, 0.5000)  4 Co 2.53, 4 Hg 2.61, 4 Be 2.61
Hg (0.5000, 0.5000, 0.0000)  4 Be 2.53, 8 Co 2.61

---

# BeCo2Hg

An optimized crystal structure of BeCo2Hg (PBEsol, the Alexandria database).

Values from the calculation:
total DFT energy (no corrections) = -36.46 eV for the cell shown

a = 4.8794 Å, b = 8.2862 Å, c = 2.6606 Å
α = 90.00°, β = 110.55°, γ = 90.00°
Closest atoms and distances in Å follow each position.
Space group C2/m (No. 12)
One atom of each set of equivalent atoms:
Be (0.0000, 0.0000, 0.0000)  2 Hg 2.44, 4 Co 2.53, 2 Be 2.66
Co (0.2500, 0.2500, 0.5000)  4 Co 2.44-2.66, 2 Hg 2.53, 2 Be 2.53
Hg (0.0000, 0.5000, 0.0000)  2 Be 2.44, 4 Co 2.53, 2 Hg 2.66

---

# Be2CoHg

An optimized crystal structure of Be2CoHg (PBEsol, the Alexandria database).

Values from the calculation:
total DFT energy (no corrections) = -31.02 eV for the cell shown

a = 3.4159 Å, b = 3.4159 Å, c = 7.8657 Å
α = 90.00°, β = 90.00°, γ = 90.00°
Closest atoms and distances in Å follow each position.
Space group I-4m2 (No. 119)
One atom of each set of equivalent atoms:
Be (0.0000, 0.0000, 0.0000)  4 Co 2.42, 4 Hg 2.60, 4 Be 2.60
Be (0.0000, 0.5000, 0.2500)  4 Hg 2.42, 4 Co 2.60, 4 Be 2.60
Co (0.0000, 0.0000, 0.5000)  8 Be 2.42-2.60, 4 Hg 2.60
Hg (0.0000, 0.5000, 0.7500)  8 Be 2.42-2.60, 4 Co 2.60

---

# Be2CoHg

An optimized crystal structure of Be2CoHg (PBEsol, the Alexandria database).

Values from the calculation:
total DFT energy (no corrections) = -59.86 eV for the cell shown

a = 5.7475 Å, b = 5.7475 Å, c = 5.7475 Å
α = 90.00°, β = 90.00°, γ = 90.00°
Closest atoms and distances in Å follow each position.
Space group F-43m (No. 216)
One atom of each set of equivalent atoms:
Be (0.0000, 0.0000, 0.0000)  4 Hg 2.49, 4 Be 2.49
Be (0.2500, 0.2500, 0.2500)  4 Co 2.49, 4 Be 2.49
Co (0.0000, 0.0000, 0.5000)  4 Hg 2.49, 4 Be 2.49
Hg (0.2500, 0.2500, 0.7500)  4 Co 2.49, 4 Be 2.49

---

# BeCo2Hg

An optimized crystal structure of BeCo2Hg (PBEsol, the Alexandria database).

Values from the calculation:
total DFT energy (no corrections) = -37.49 eV for the cell shown

a = 3.5703 Å, b = 3.5703 Å, c = 7.6447 Å
α = 90.00°, β = 90.00°, γ = 90.00°
Closest atoms and distances in Å follow each position.
Space group I4/mmm (No. 139)
One atom of each set of equivalent atoms:
Be (0.0000, 0.0000, 0.0000)  4 Hg 2.52, 8 Co 2.62
Co (0.0000, 0.5000, 0.2500)  4 Co 2.52, 4 Hg 2.62, 4 Be 2.62
Hg (0.0000, 0.0000, 0.5000)  4 Be 2.52, 8 Co 2.62

---

# MnBeCoHg2

An optimized crystal structure of MnBeCoHg2 (PBEsol, the Alexandria database).

Values from the calculation:
total DFT energy (no corrections) = -18.60 eV for the cell shown

a = 4.8351 Å, b = 4.8351 Å, c = 3.9150 Å
α = 90.00°, β = 90.00°, γ = 90.00°
Closest atoms and distances in Å follow each position.
Space group P4/mmm (No. 123)
One atom of each set of equivalent atoms:
Mn (0.0000, 0.0000, 0.0000)  8 Hg 3.11, 4 Be 3.42
Be (0.5000, 0.5000, 0.0000)  2 Co 1.96
Co (0.5000, 0.5000, 0.5000)  2 Be 1.96
Hg (0.0000, 0.5000, 0.5000)  2 Co 2.42

---

Number 1: M_tot 0.0 μB/cell. Number 2: M_tot 0.0 μB/cell. Number 3: M_tot 0.0 μB/cell. Number 4: M_tot 0.0 μB/cell. Number 5: M_tot 0.0 μB/cell. Number 6: M_tot 0.0 μB/cell. Number 7: M_tot 2.5 μB/cell. Number 8: M_tot 5.6 μB/cell. Number 9: M_tot 0.8 μB/cell. Number 10: M_tot 0.0 μB/cell. Number 11: M_tot 5.1 μB/cell. Number 12: M_tot 5.0 μB/cell.